[1]
Computed, not measured: a relaxed structure of RuWSCl2 at the PBE-GGA level of DFT.

Properties
**Density of states at the Fermi level**: 4.0 states/eV/cell
**Energy above the most stable polymorph in this dataset**: 0.0000 eV per atom
**Energy relative to the elements, uncorrected**: 0.853 eV per atom
**Raw total energy**: -0.1895 hartree per atom

Unit cell a=4.864 b=4.864 c=4.614 alpha=90.00 beta=90.00 gamma=90.00
Space group P4/mmm (No. 123)
Inequivalent atoms, fractional coordinates:
Ru 0.000 0.000 0.000 (multiplicity 1)
W 0.500 0.500 0.500 (multiplicity 1)
S 0.500 0.500 0.000 (multiplicity 1)
Cl 0.000 0.500 0.500 (multiplicity 2)

=====

[2]
Computed, not measured: a relaxed structure of CrCo2Os at the PBE-GGA level of DFT.

Properties
**Density of states at the Fermi level**: 5.6 states/eV/cell
**Energy above the most stable polymorph in this dataset**: 0.0924 eV per atom
**ΔE_f**: 104 meV/atom
**Raw total energy**: -0.3183 hartree per atom

Unit cell a=2.550 b=3.658 c=5.036 alpha=90.00 beta=90.00 gamma=90.00
Space group Pmmm (No. 47)
Inequivalent atoms, fractional coordinates:
Cr 0.000 0.000 0.000 (multiplicity 1)
Co 0.500 0.500 0.246 (multiplicity 2)
Os 0.000 0.000 0.500 (multiplicity 1)